Record 1
Here is a relaxed SrPbW2 crystal from Alexandria via LeMat-Bulk. Energies are from PBE-GGA.

Results
- energy of formation (eV/f.u.) = 4.292
- calculated volume (Å³/atom) = 21.25
- theoretical density (g/cm³) = 12.9
- DOS(E_F) (states/eV per cell) = 6.2
- M_tot (Bohr magnetons per cell) = 0.00
- raw total energy (Ha/atom) = -0.2481

Cell and atoms, written as CIF:
```
data_SrPbW2
_chemical_formula_sum 'Sr4 Pb4 W8'
_cell_length_a 6.980
_cell_length_b 6.980
_cell_length_c 6.980
_cell_angle_alpha 90.00
_cell_angle_beta 90.00
_cell_angle_gamma 90.00
_symmetry_space_group_name_H-M 'F -4 3 m'
_symmetry_Int_Tables_number 216
_symmetry_space_group_name_Hall 'F -4 2 3'
loop_
_atom_site_label
_atom_site_fract_x
_atom_site_fract_y
_atom_site_fract_z
_atom_site_occupancy
Sr1 0.000 0.000 0.000 1
Pb1 0.250 0.250 0.750 1
W1 0.000 0.000 0.500 1
W2 0.250 0.250 0.250 1
```


Record 2
Here is a relaxed SrPbW3 crystal from Alexandria via LeMat-Bulk. Energies are from PBE-GGA.

Results
- energy of formation (eV/f.u.) = 17.564
- calculated volume (Å³/atom) = 23.80
- theoretical density (g/cm³) = 11.8
- DOS(E_F) (states/eV per cell) = 7.4
- E above lowest polymorph (meV/atom) = 851
- M_tot (Bohr magnetons per cell) = 0.00
- raw total energy (Ha/atom) = -0.1961

Cell and atoms, written as CIF:
```
data_SrPbW3
_chemical_formula_sum 'Sr1 Pb1 W3'
_cell_length_a 4.919
_cell_length_b 4.919
_cell_length_c 4.919
_cell_angle_alpha 90.00
_cell_angle_beta 90.00
_cell_angle_gamma 90.00
_symmetry_space_group_name_H-M 'P m -3 m'
_symmetry_Int_Tables_number 221
_symmetry_space_group_name_Hall '-P 4 2 3'
loop_
_atom_site_label
_atom_site_fract_x
_atom_site_fract_y
_atom_site_fract_z
_atom_site_occupancy
Sr1 0.000 0.000 0.000 1
Pb1 0.500 0.500 0.500 1
W1 0.000 0.000 0.500 1
```


Record 3
Here is a relaxed SrPbW2 crystal from Alexandria via LeMat-Bulk. Energies are from PBE-GGA.

Results
- energy of formation (eV/f.u.) = 5.511
- calculated volume (Å³/atom) = 22.14
- theoretical density (g/cm³) = 12.4
- DOS(E_F) (states/eV per cell) = 3.4
- M_tot (Bohr magnetons per cell) = 0.00
- raw total energy (Ha/atom) = -0.2369

Cell and atoms, written as CIF:
```
data_SrPbW2
_chemical_formula_sum 'Sr1 Pb1 W2'
_cell_length_a 2.929
_cell_length_b 2.929
_cell_length_c 10.325
_cell_angle_alpha 90.00
_cell_angle_beta 90.00
_cell_angle_gamma 90.00
_symmetry_space_group_name_H-M 'P 4/m m m'
_symmetry_Int_Tables_number 123
_symmetry_space_group_name_Hall '-P 4 2'
loop_
_atom_site_label
_atom_site_fract_x
_atom_site_fract_y
_atom_site_fract_z
_atom_site_occupancy
Sr1 0.000 0.000 0.000 1
Pb1 0.000 0.000 0.500 1
W1 0.500 0.500 0.265 1
```


Record 4
Here is a relaxed SrPbW2 crystal from Alexandria via LeMat-Bulk. Energies are from PBE-GGA.

Results
- energy of formation (eV/f.u.) = 2.838
- calculated volume (Å³/atom) = 25.07
- theoretical density (g/cm³) = 11.0
- DOS(E_F) (states/eV per cell) = 5.2
- M_tot (Bohr magnetons per cell) = 0.00
- raw total energy (Ha/atom) = -0.2615

Cell and atoms, written as CIF:
```
data_SrPbW2
_chemical_formula_sum 'Sr2 Pb2 W4'
_cell_length_a 8.591
_cell_length_b 3.206
_cell_length_c 7.343
_cell_angle_alpha 90.00
_cell_angle_beta 97.42
_cell_angle_gamma 90.00
_symmetry_space_group_name_H-M 'C 1 m 1'
_symmetry_Int_Tables_number 8
_symmetry_space_group_name_Hall 'C -2y'
loop_
_atom_site_label
_atom_site_fract_x
_atom_site_fract_y
_atom_site_fract_z
_atom_site_occupancy
Sr1 0.000 0.000 0.000 1
Pb1 0.258 0.500 0.331 1
W1 0.005 0.500 0.565 1
W2 0.231 0.000 0.690 1
```